[1]
A relaxed structure of AcScPa, computed with PBE-GGA.

Lattice parameters (Å, degrees): 5.2415 5.2415 5.2415 60.00 60.00 60.00
Element x y z (fractional)
Ac: 0.2500 0.2500 0.2500
Sc: 0.0000 0.0000 0.0000
Pa: 0.7500 0.7500 0.7500

Output
**Symmetry**: F-43m, No. 216
**Energy of formation**: 0.993 eV per atom

***

[2]
A relaxed structure of RbPdS2O8, computed with PBE-GGA.

Lattice parameters (Å, degrees): 4.7923 4.7923 8.1602 90.00 90.00 120.00
Element x y z (fractional)
Pd: 0.0000 0.0000 0.0000
O: 0.6667 0.3333 0.6021
O: 0.9591 0.6337 0.8408
O: 0.3254 0.9591 0.1592
O: 0.6337 0.6746 0.1592
O: 0.6746 0.0409 0.8408
O: 0.3333 0.6667 0.3979
O: 0.0409 0.3663 0.1592
O: 0.3663 0.3254 0.8408
S: 0.6667 0.3333 0.7813
S: 0.3333 0.6667 0.2187
Rb: 0.0000 0.0000 0.5000

Output
**Symmetry**: P-3, No. 147
**Energy**: -68.43 eV/cell

***

[3]
A relaxed structure of Pr2ZnSb4Pd, computed with PBE-GGA.

Lattice parameters (Å, degrees): 4.3905 4.3905 10.4834 90.00 90.00 90.00
Element x y z (fractional)
Pr: 0.5000 0.0000 0.7439
Pr: 0.0000 0.5000 0.2561
Sb: 0.5000 0.5000 0.5000
Sb: 0.5000 0.0000 0.1636
Sb: 0.0000 0.5000 0.8364
Sb: 0.0000 0.0000 0.5000
Pd: 0.5000 0.5000 0.0000
Zn: 0.0000 0.0000 0.0000

Output
**Symmetry**: P-4m2, No. 115
**Energy**: -38.72 eV/cell

***

[4]
A relaxed structure of Rb2TcWN4, computed with PBE-GGA.

Lattice parameters (Å, degrees): 6.0256 6.0256 6.0256 120.56 120.56 89.04
Element x y z (fractional)
N: 0.8771 0.0572 0.6828
N: 0.9428 0.6256 0.8199
N: 0.8057 0.1229 0.1801
N: 0.3744 0.1943 0.3172
W: 0.7500 0.2500 0.5000
Tc: 0.0000 0.0000 0.0000
Rb: 0.5000 0.5000 0.0000
Rb: 0.2500 0.7500 0.5000

Output
**Symmetry**: I-4, No. 82
**Energy**: -60.90 eV/cell

***

[5]
A relaxed structure of TaPb2N, computed with PBE-GGA.

Lattice parameters (Å, degrees): 3.3126 3.3126 15.8499 90.00 90.00 120.00
Element x y z (fractional)
Pb: 0.6667 0.3333 0.5993
Pb: 0.3333 0.6667 0.4007
Pb: 0.3333 0.6667 0.0993
Pb: 0.6667 0.3333 0.9007
N: 0.0000 0.0000 0.0000
N: 0.0000 0.0000 0.5000
Ta: 0.6667 0.3333 0.2500
Ta: 0.3333 0.6667 0.7500

Output
**Symmetry**: P6_3/mmc, No. 194
**Energy**: -47.74 eV/cell

***

[6]
A relaxed structure of Tb2ErIn3CuAg2, computed with PBE-GGA.

Lattice parameters (Å, degrees): 3.8688 7.7980 7.7980 119.81 90.00 90.00
Element x y z (fractional)
In: 0.5000 0.2524 0.0013
In: 0.5000 0.7479 0.7479
In: 0.5000 0.0013 0.2524
Ag: 0.5000 0.6643 0.3345
Ag: 0.5000 0.3345 0.6643
Tb: 0.0000 0.9998 0.5981
Tb: 0.0000 0.5981 0.9998
Cu: 0.0000 0.0010 0.0010
Er: 0.0000 0.4005 0.4005

Output
**Symmetry**: Amm2, No. 38
**Energy**: -35.30 eV/cell

***

[7]
A relaxed structure of Tb2HoIn3CuPt2, computed with PBE-GGA.

Lattice parameters (Å, degrees): 3.7425 7.7459 7.7459 119.94 90.00 90.00
Element x y z (fractional)
Cu: 0.0000 0.9996 0.9996
Pt: 0.5000 0.6661 0.3348
Pt: 0.5000 0.3348 0.6661
Tb: 0.0000 0.0000 0.4105
Tb: 0.0000 0.4105 0.0000
Ho: 0.0000 0.5897 0.5897
In: 0.5000 0.9993 0.7441
In: 0.5000 0.2559 0.2559
In: 0.5000 0.7441 0.9993

Output
**Symmetry**: Amm2, No. 38
**Energy**: -45.42 eV/cell

***

[8]
A relaxed structure of CsNdZnSe3, computed with PBE-GGA.

Lattice parameters (Å, degrees): 9.8091 9.8091 9.2328 99.53 99.53 26.22
Element x y z (fractional)
Se: 0.5000 0.5000 0.0000
Se: 0.0000 0.0000 0.5000
Se: 0.3437 0.3437 0.2319
Se: 0.3181 0.3181 0.6408
Se: 0.6819 0.6819 0.3592
Se: 0.6563 0.6563 0.7681
Nd: 0.8374 0.8374 0.4455
Nd: 0.1626 0.1626 0.5545
Cs: 0.8529 0.8529 0.9351
Cs: 0.1471 0.1471 0.0649
Zn: 0.4702 0.4702 0.2540
Zn: 0.5298 0.5298 0.7460

Output
**Symmetry**: C2/m, No. 12
**Energy**: -48.87 eV/cell

***

[9]
A relaxed structure of WCl, computed with PBE-GGA.

Lattice parameters (Å, degrees): 3.7691 3.7691 3.7691 60.00 60.00 60.00
Element x y z (fractional)
W: 0.2500 0.2500 0.2500
Cl: 0.0000 0.0000 0.0000

Output
**Symmetry**: F-43m, No. 216
**Energy**: -11.54 eV/cell

***

[10]
A relaxed structure of BaPrGaTe3, computed with PBE-GGA.

Lattice parameters (Å, degrees): 8.2843 8.2843 11.5267 90.00 90.00 146.96
Element x y z (fractional)
Ba: 0.2392 0.7608 0.2500
Ba: 0.7608 0.2392 0.7500
Pr: 0.0000 0.0000 0.5000
Pr: 0.0000 0.0000 0.0000
Te: 0.6406 0.3594 0.0460
Te: 0.6406 0.3594 0.4540
Te: 0.3594 0.6406 0.9540
Te: 0.0986 0.9014 0.7500
Te: 0.9014 0.0986 0.2500
Te: 0.3594 0.6406 0.5460
Ga: 0.5193 0.4807 0.2500
Ga: 0.4807 0.5193 0.7500

Output
**Symmetry**: Cmcm, No. 63
**Energy**: -51.50 eV/cell

***

[11]
A relaxed structure of Zr4HgPbC2, computed with PBE-GGA.

Lattice parameters (Å, degrees): 3.3897 3.3897 14.9209 90.00 90.00 120.00
Element x y z (fractional)
C: 0.6667 0.3333 0.2482
C: 0.6667 0.3333 0.7518
Zr: 0.3333 0.6667 0.8351
Zr: 0.0000 0.0000 0.3315
Zr: 0.0000 0.0000 0.6685
Zr: 0.3333 0.6667 0.1649
Hg: 0.0000 0.0000 0.0000
Pb: 0.3333 0.6667 0.5000

Output
**Symmetry**: P-6m2, No. 187
**Energy**: -61.70 eV/cell

***

[12]
A relaxed structure of NaHfRe, computed with PBE-GGA.

Lattice parameters (Å, degrees): 4.5481 4.5481 4.5481 60.00 60.00 60.00
Element x y z (fractional)
Hf: 0.2500 0.2500 0.2500
Re: 0.0000 0.0000 0.0000
Na: 0.7500 0.7500 0.7500

Output
**Symmetry**: F-43m, No. 216
**Energy**: -19.86 eV/cell